Below is an optimized crystal structure of BeAgOs2, with properties calculated at the PBE level.

Cell and atoms, written as POSCAR:
```
BeAgOs2
1.0
-1.610 -7.315 -4.403
0.403 -8.224 -2.772
-2.190 -8.197 -1.868
Be Os Ag
1 2 1
Direct
0.746 0.746 0.746
0.006 0.006 0.006
0.256 0.256 0.256
0.492 0.492 0.492
```

Calculated values
* uncorrected energy: -27.93 eV for the cell shown
* space-group type: R3m, No. 160
* calculated formation energy: 0.28 eV/atom
* mass density: 14.80 g cm⁻³